Entry 1:
First-principles (PBE) data for a relaxed structure of Lu2CuNi, as listed in Alexandria via LeMat-Bulk.

Magnetic moment, μB/atom: 0.000
ΔH_f (0 K), eV/atom: 0.248

a b c (Å): 8.7074 8.7074 8.7074
angles (deg): 24.85 24.85 24.85
Fractional coordinates of all 4 atoms:
Lu (0.1089, 0.1089, 0.1089)
Lu (0.8911, 0.8911, 0.8911)
Cu (0.0000, 0.0000, 0.0000)
Ni (0.5000, 0.5000, 0.5000)


Entry 2:
First-principles (PBE) data for a relaxed structure of LuCuNi2, as listed in Alexandria via LeMat-Bulk.

Magnetic moment, μB/atom: 0.000
ΔH_f (0 K), eV/atom: -0.295

a b c (Å): 4.8931 4.8931 4.8931
angles (deg): 49.28 49.28 49.28
Fractional coordinates of all 4 atoms:
Lu (0.0000, 0.0000, 0.0000)
Cu (0.5000, 0.5000, 0.5000)
Ni (0.2042, 0.2042, 0.2042)
Ni (0.7958, 0.7958, 0.7958)


Entry 3:
First-principles (PBE) data for a relaxed structure of LuCuNi2, as listed in Alexandria via LeMat-Bulk.

Magnetic moment, μB/atom: 0.000
ΔH_f (0 K), eV/atom: -0.241

a b c (Å): 4.3309 4.3309 4.3309
angles (deg): 60.00 60.00 60.00
Fractional coordinates of all 4 atoms:
Lu (0.0000, 0.0000, 0.0000)
Cu (0.5000, 0.5000, 0.5000)
Ni (0.2500, 0.2500, 0.2500)
Ni (0.7500, 0.7500, 0.7500)


Entry 4:
First-principles (PBE) data for a relaxed structure of LuCuNi4, as listed in Alexandria via LeMat-Bulk.

Magnetic moment, μB/atom: 0.173
ΔH_f (0 K), eV/atom: -0.311

a b c (Å): 4.8179 4.8179 4.8179
angles (deg): 60.00 60.00 60.00
Fractional coordinates of all 6 atoms:
Lu (0.0000, 0.0000, 0.0000)
Cu (0.7500, 0.7500, 0.7500)
Ni (0.3758, 0.3758, 0.3758)
Ni (0.3758, 0.3758, 0.8727)
Ni (0.3758, 0.8727, 0.3758)
Ni (0.8727, 0.3758, 0.3758)


Entry 5:
First-principles (PBE) data for a relaxed structure of LuCuNiPd, as listed in Alexandria via LeMat-Bulk.

Magnetic moment, μB/atom: 0.000
ΔH_f (0 K), eV/atom: -0.420

a b c (Å): 4.4612 4.4612 4.4612
angles (deg): 60.00 60.00 60.00
Fractional coordinates of all 4 atoms:
Lu (0.0000, 0.0000, 0.0000)
Cu (0.5000, 0.5000, 0.5000)
Ni (0.2500, 0.2500, 0.2500)
Pd (0.7500, 0.7500, 0.7500)


Entry 6:
First-principles (PBE) data for a relaxed structure of PmLuCuNi, as listed in Alexandria via LeMat-Bulk.

Magnetic moment, μB/atom: 0.000
ΔH_f (0 K), eV/atom: -0.299

a b c (Å): 4.8535 4.8535 4.8535
angles (deg): 60.00 60.00 60.00
Fractional coordinates of all 4 atoms:
Pm (0.0000, 0.0000, 0.0000)
Lu (0.5000, 0.5000, 0.5000)
Cu (0.7500, 0.7500, 0.7500)
Ni (0.2500, 0.2500, 0.2500)


Entry 7:
First-principles (PBE) data for a relaxed structure of PrLuCuNi, as listed in Alexandria via LeMat-Bulk.

Magnetic moment, μB/atom: 0.000
ΔH_f (0 K), eV/atom: -0.264

a b c (Å): 4.8956 4.8956 4.8956
angles (deg): 60.00 60.00 60.00
Fractional coordinates of all 4 atoms:
Pr (0.0000, 0.0000, 0.0000)
Lu (0.5000, 0.5000, 0.5000)
Cu (0.2500, 0.2500, 0.2500)
Ni (0.7500, 0.7500, 0.7500)


Entry 8:
First-principles (PBE) data for a relaxed structure of LuCuNiPt, as listed in Alexandria via LeMat-Bulk.

Magnetic moment, μB/atom: 0.000
ΔH_f (0 K), eV/atom: -0.518

a b c (Å): 4.4707 4.4707 4.4707
angles (deg): 60.00 60.00 60.00
Fractional coordinates of all 4 atoms:
Lu (0.0000, 0.0000, 0.0000)
Cu (0.5000, 0.5000, 0.5000)
Ni (0.2500, 0.2500, 0.2500)
Pt (0.7500, 0.7500, 0.7500)


Entry 9:
First-principles (PBE) data for a relaxed structure of LuPuCuNi, as listed in Alexandria via LeMat-Bulk.

Magnetic moment, μB/atom: 1.334
ΔH_f (0 K), eV/atom: -0.128

a b c (Å): 4.7864 4.7864 4.7864
angles (deg): 60.00 60.00 60.00
Fractional coordinates of all 4 atoms:
Lu (0.0000, 0.0000, 0.0000)
Pu (0.5000, 0.5000, 0.5000)
Cu (0.7500, 0.7500, 0.7500)
Ni (0.2500, 0.2500, 0.2500)


Entry 10:
First-principles (PBE) data for a relaxed structure of LuCuNiRh, as listed in Alexandria via LeMat-Bulk.

Magnetic moment, μB/atom: 0.000
ΔH_f (0 K), eV/atom: -0.375

a b c (Å): 4.4119 4.4119 4.4119
angles (deg): 60.00 60.00 60.00
Fractional coordinates of all 4 atoms:
Lu (0.0000, 0.0000, 0.0000)
Cu (0.5000, 0.5000, 0.5000)
Ni (0.7500, 0.7500, 0.7500)
Rh (0.2500, 0.2500, 0.2500)


Entry 11:
First-principles (PBE) data for a relaxed structure of LuScCuNi, as listed in Alexandria via LeMat-Bulk.

Magnetic moment, μB/atom: 0.000
ΔH_f (0 K), eV/atom: -0.381

a b c (Å): 4.6371 4.6371 4.6371
angles (deg): 60.00 60.00 60.00
Fractional coordinates of all 4 atoms:
Lu (0.0000, 0.0000, 0.0000)
Sc (0.5000, 0.5000, 0.5000)
Cu (0.2500, 0.2500, 0.2500)
Ni (0.7500, 0.7500, 0.7500)


Entry 12:
First-principles (PBE) data for a relaxed structure of LuCuNiSn, as listed in Alexandria via LeMat-Bulk.

Magnetic moment, μB/atom: 0.000
ΔH_f (0 K), eV/atom: -0.443

a b c (Å): 4.5736 4.5736 4.5736
angles (deg): 60.00 60.00 60.00
Fractional coordinates of all 4 atoms:
Lu (0.0000, 0.0000, 0.0000)
Cu (0.7500, 0.7500, 0.7500)
Ni (0.2500, 0.2500, 0.2500)
Sn (0.5000, 0.5000, 0.5000)


Entry 13:
First-principles (PBE) data for a relaxed structure of LuThCuNi, as listed in Alexandria via LeMat-Bulk.

Magnetic moment, μB/atom: 0.000
ΔH_f (0 K), eV/atom: -0.263

a b c (Å): 4.8910 4.8910 4.8910
angles (deg): 60.00 60.00 60.00
Fractional coordinates of all 4 atoms:
Lu (0.0000, 0.0000, 0.0000)
Th (0.5000, 0.5000, 0.5000)
Cu (0.7500, 0.7500, 0.7500)
Ni (0.2500, 0.2500, 0.2500)


Entry 14:
First-principles (PBE) data for a relaxed structure of LuTiCuNi, as listed in Alexandria via LeMat-Bulk.

Magnetic moment, μB/atom: 0.096
ΔH_f (0 K), eV/atom: -0.199

a b c (Å): 4.5267 4.5267 4.5267
angles (deg): 60.00 60.00 60.00
Fractional coordinates of all 4 atoms:
Lu (0.0000, 0.0000, 0.0000)
Ti (0.5000, 0.5000, 0.5000)
Cu (0.2500, 0.2500, 0.2500)
Ni (0.7500, 0.7500, 0.7500)


Entry 15:
First-principles (PBE) data for a relaxed structure of YLuCuNi, as listed in Alexandria via LeMat-Bulk.

Magnetic moment, μB/atom: 0.000
ΔH_f (0 K), eV/atom: -0.347

a b c (Å): 4.7932 4.7932 4.7932
angles (deg): 60.00 60.00 60.00
Fractional coordinates of all 4 atoms:
Y (0.0000, 0.0000, 0.0000)
Lu (0.5000, 0.5000, 0.5000)
Cu (0.2500, 0.2500, 0.2500)
Ni (0.7500, 0.7500, 0.7500)


Entry 16:
First-principles (PBE) data for a relaxed structure of LuZrCuNi, as listed in Alexandria via LeMat-Bulk.

Magnetic moment, μB/atom: 0.000
ΔH_f (0 K), eV/atom: -0.277

a b c (Å): 4.6606 4.6606 4.6606
angles (deg): 60.00 60.00 60.00
Fractional coordinates of all 4 atoms:
Lu (0.0000, 0.0000, 0.0000)
Zr (0.5000, 0.5000, 0.5000)
Cu (0.2500, 0.2500, 0.2500)
Ni (0.7500, 0.7500, 0.7500)


Entry 17:
First-principles (PBE) data for a relaxed structure of LuNpCu4, as listed in Alexandria via LeMat-Bulk.

Magnetic moment, μB/atom: 0.749
ΔH_f (0 K), eV/atom: 0.057

a b c (Å): 5.2016 5.2016 5.2016
angles (deg): 60.00 60.00 60.00
Fractional coordinates of all 6 atoms:
Lu (0.0000, 0.0000, 0.0000)
Np (0.2500, 0.2500, 0.2500)
Cu (0.1233, 0.6256, 0.6256)
Cu (0.6256, 0.1233, 0.6256)
Cu (0.6256, 0.6256, 0.1233)
Cu (0.6256, 0.6256, 0.6256)


Entry 18:
First-principles (PBE) data for a relaxed structure of LuNpCuOs, as listed in Alexandria via LeMat-Bulk.

Magnetic moment, μB/atom: 0.967
ΔH_f (0 K), eV/atom: 0.017

a b c (Å): 4.7900 4.7900 4.7900
angles (deg): 60.00 60.00 60.00
Fractional coordinates of all 4 atoms:
Lu (0.0000, 0.0000, 0.0000)
Np (0.5000, 0.5000, 0.5000)
Cu (0.2500, 0.2500, 0.2500)
Os (0.7500, 0.7500, 0.7500)


Entry 19:
First-principles (PBE) data for a relaxed structure of LuCu2O4, as listed in Alexandria via LeMat-Bulk.

Magnetic moment, μB/atom: 0.127
Formation energy without anion corrections, meV/atom: -1696

a b c (Å): 6.2055 6.2055 6.2055
angles (deg): 126.31 126.31 79.37
Fractional coordinates of all 14 atoms:
Lu (0.3750, 0.1250, 0.2500)
Lu (0.6250, 0.8750, 0.7500)
Cu (0.0000, 0.0000, 0.5000)
Cu (0.0000, 0.5000, 0.0000)
Cu (0.0000, 0.5000, 0.5000)
Cu (0.5000, 0.5000, 0.0000)
O (0.0278, 0.7268, 0.8981)
O (0.2268, 0.8287, 0.6990)
O (0.3287, 0.1297, 0.6019)
O (0.3703, 0.4722, 0.1990)
O (0.6297, 0.5278, 0.8010)
O (0.6713, 0.8703, 0.3981)
O (0.7732, 0.1713, 0.3010)
O (0.9722, 0.2732, 0.1019)


Entry 20:
First-principles (PBE) data for a relaxed structure of Lu3Cu5O12, as listed in Alexandria via LeMat-Bulk.

Magnetic moment, μB/atom: 0.001
Formation energy without anion corrections, meV/atom: -1574

a b c (Å): 10.5507 10.5507 10.5507
angles (deg): 109.47 109.47 109.47
Fractional coordinates of all 80 atoms:
Lu (0.1250, 0.2500, 0.3750)
Lu (0.1250, 0.3750, 0.7500)
Lu (0.2500, 0.3750, 0.1250)
Lu (0.2500, 0.8750, 0.6250)
Lu (0.3750, 0.1250, 0.2500)
Lu (0.3750, 0.7500, 0.1250)
Lu (0.6250, 0.2500, 0.8750)
Lu (0.6250, 0.8750, 0.7500)
Lu (0.7500, 0.1250, 0.3750)
Lu (0.7500, 0.6250, 0.8750)
Lu (0.8750, 0.6250, 0.2500)
Lu (0.8750, 0.7500, 0.6250)
Cu (0.0000, 0.0000, 0.0000)
Cu (0.0000, 0.0000, 0.5000)
Cu (0.0000, 0.5000, 0.0000)
Cu (0.0000, 0.5000, 0.5000)
Cu (0.1250, 0.7500, 0.8750)
Cu (0.1250, 0.8750, 0.2500)
Cu (0.2500, 0.1250, 0.8750)
Cu (0.2500, 0.6250, 0.3750)
Cu (0.3750, 0.2500, 0.6250)
Cu (0.3750, 0.6250, 0.7500)
Cu (0.5000, 0.0000, 0.0000)
Cu (0.5000, 0.0000, 0.5000)
Cu (0.5000, 0.5000, 0.0000)
Cu (0.5000, 0.5000, 0.5000)
Cu (0.6250, 0.3750, 0.2500)
Cu (0.6250, 0.7500, 0.3750)
Cu (0.7500, 0.3750, 0.6250)
Cu (0.7500, 0.8750, 0.1250)
Cu (0.8750, 0.1250, 0.7500)
Cu (0.8750, 0.2500, 0.1250)
O (0.0348, 0.2063, 0.1285)
O (0.0348, 0.3285, 0.9063)
O (0.0778, 0.7063, 0.6715)
O (0.0778, 0.8715, 0.4063)
O (0.0937, 0.6285, 0.4222)
O (0.0937, 0.9652, 0.6715)
O (0.1285, 0.0348, 0.2063)
O (0.1285, 0.5937, 0.9222)
O (0.1715, 0.2063, 0.5778)
O (0.1715, 0.4652, 0.5937)
O (0.2063, 0.1285, 0.0348)
O (0.2063, 0.5778, 0.1715)
O (0.2937, 0.3285, 0.9222)
O (0.2937, 0.4652, 0.3715)
O (0.3285, 0.9063, 0.0348)
O (0.3285, 0.9222, 0.2937)
O (0.3715, 0.2937, 0.4652)
O (0.3715, 0.5778, 0.9063)
O (0.4063, 0.0778, 0.8715)
O (0.4063, 0.8285, 0.5348)
O (0.4222, 0.0937, 0.6285)
O (0.4222, 0.8285, 0.7937)
O (0.4652, 0.3715, 0.2937)
O (0.4652, 0.5937, 0.1715)
O (0.5348, 0.4063, 0.8285)
O (0.5348, 0.6285, 0.7063)
O (0.5778, 0.1715, 0.2063)
O (0.5778, 0.9063, 0.3715)
O (0.5937, 0.1715, 0.4652)
O (0.5937, 0.9222, 0.1285)
O (0.6285, 0.4222, 0.0937)
O (0.6285, 0.7063, 0.5348)
O (0.6715, 0.0778, 0.7063)
O (0.6715, 0.0937, 0.9652)
O (0.7063, 0.5348, 0.6285)
O (0.7063, 0.6715, 0.0778)
O (0.7937, 0.4222, 0.8285)
O (0.7937, 0.8715, 0.9652)
O (0.8285, 0.5348, 0.4063)
O (0.8285, 0.7937, 0.4222)
O (0.8715, 0.4063, 0.0778)
O (0.8715, 0.9652, 0.7937)
O (0.9063, 0.0348, 0.3285)
O (0.9063, 0.3715, 0.5778)
O (0.9222, 0.1285, 0.5937)
O (0.9222, 0.2937, 0.3285)
O (0.9652, 0.6715, 0.0937)
O (0.9652, 0.7937, 0.8715)